Entry 1:
## KDyEr2 (GGA-PBE)

Data for an optimized crystal structure of KDyEr2.

Energy of formation ... 256 meV/atom
SG ... No. 166
Fermi-level density of states ... 4.2 states/eV/f.u.

Cell: 3.5509 3.5509 13.3275 Å, 82.34 82.34 60.00°
Last column: nearest neighbours and their distance in Å.
Fractional positions:
Er  0.0959  0.0959  0.7122  3 Dy 3.47, 6 Er 3.55, 1 K 3.79
Er  0.9041  0.9041  0.2878  3 Dy 3.47, 6 Er 3.55, 1 K 3.79
Dy  0.5000  0.5000  0.5000  6 Er 3.47, 6 Dy 3.55
K  0.0000  0.0000  0.0000  6 K 3.55, 2 Er 3.79


Entry 2:
## SrLi7Ga5 (GGA-PBE)

Data for an optimized crystal structure of SrLi7Ga5.

Energy of formation ... -285 meV/atom
SG ... No. 44
Fermi-level density of states ... 4.9 states/eV/f.u.

Cell: 5.5356 7.1375 7.1375 Å, 80.44 67.18 67.18°
Last column: nearest neighbours and their distance in Å.
Fractional positions:
Ga  0.0089  0.9976  0.4991  7 Li 2.68-2.92, 3 Ga 2.69-2.85
Ga  0.0089  0.4991  0.9976  7 Li 2.68-2.92, 3 Ga 2.69-2.85
Ga  0.4943  0.9976  0.4991  7 Li 2.68-2.92, 3 Ga 2.69-2.85
Ga  0.4943  0.4991  0.9976  7 Li 2.68-2.92, 3 Ga 2.69-2.85
Ga  0.7144  0.7856  0.7856  4 Ga 2.73, 6 Li 2.81-3.04
Li  0.6590  0.3410  0.3410  4 Ga 2.85, 5 Li 2.91-2.98
Li  0.3486  0.6514  0.6514  6 Ga 2.81-3.04, 3 Li 2.91-2.99
Li  0.9934  0.3565  0.6566  4 Li 2.77-3.03, 5 Ga 2.83-2.96
Li  0.2732  0.2268  0.2268  4 Ga 2.68, 6 Li 2.96-2.97
Li  0.9934  0.6566  0.3565  4 Li 2.77-3.03, 5 Ga 2.83-2.96
Li  0.5049  0.2125  0.7777  5 Ga 2.73-2.81, 5 Li 2.96-3.03
Li  0.5049  0.7777  0.2125  5 Ga 2.73-2.81, 5 Li 2.96-3.03
Sr  0.0015  0.9985  0.9985  10 Li 3.22-3.50, 10 Ga 3.41-3.59


Entry 3:
## K3In5I12 (GGA-PBE)

Data for an optimized crystal structure of K3In5I12.

Energy relative to the elements, uncorrected ... -0.730 eV/atom
SG ... No. 230
Fermi-level density of states ... 7.4 states/eV/f.u.

Cell: 17.3002 17.3002 17.3002 Å, 109.47 109.47 109.47°
Last column: nearest neighbours and their distance in Å.
Fractional positions:
In  0.6250  0.7500  0.8750  4 I 2.92
In  0.0000  0.0000  0.5000  6 I 3.34
In  0.5000  0.5000  0.5000  6 I 3.34
In  0.1250  0.7500  0.3750  4 I 2.92
In  0.0000  0.0000  0.0000  6 I 3.34
In  0.7500  0.6250  0.3750  4 I 2.92
In  0.6250  0.8750  0.2500  4 I 2.92
In  0.3750  0.2500  0.1250  4 I 2.92
In  0.3750  0.1250  0.7500  4 I 2.92
In  0.0000  0.5000  0.5000  6 I 3.34
In  0.2500  0.8750  0.1250  4 I 2.92
In  0.5000  0.5000  0.0000  6 I 3.34
In  0.5000  0.0000  0.5000  6 I 3.34
In  0.5000  0.0000  0.0000  6 I 3.34
In  0.7500  0.1250  0.8750  4 I 2.92
In  0.0000  0.5000  0.0000  6 I 3.34
In  0.1250  0.3750  0.2500  4 I 2.92
In  0.8750  0.6250  0.7500  4 I 2.92
In  0.8750  0.2500  0.6250  4 I 2.92
In  0.2500  0.3750  0.6250  4 I 2.92
I  0.3152  0.5268  0.4037  1 In 2.92
I  0.5963  0.9732  0.6848  1 In 2.92
I  0.2116  0.6848  0.0886  1 In 2.92
I  0.6231  0.5963  0.9114  1 In 2.92
I  0.7116  0.1231  0.0268  1 In 2.92
I  0.8769  0.2884  0.4732  1 In 2.92
I  0.9037  0.8152  0.5268  1 In 2.92
I  0.1848  0.0886  0.7116  1 In 2.92
I  0.9732  0.5963  0.1848  1 In 2.92
I  0.1231  0.4114  0.0963  1 In 2.92
I  0.7884  0.3152  0.9114  1 In 2.92
I  0.7116  0.5886  0.1848  1 In 2.92
I  0.0963  0.9114  0.1231  1 In 2.92
I  0.2884  0.4114  0.8152  1 In 2.92
I  0.9114  0.0963  0.6231  1 In 2.92
I  0.1848  0.0963  0.9732  1 In 2.92
I  0.4114  0.2884  0.3152  1 In 2.92
I  0.4732  0.6848  0.0963  1 In 2.92
I  0.5963  0.6231  0.4114  1 In 2.92
I  0.5268  0.2116  0.1231  1 In 2.92
I  0.2884  0.8769  0.9732  1 In 2.92
I  0.3769  0.9732  0.7884  1 In 2.92
I  0.9037  0.0886  0.8769  1 In 2.92
I  0.9114  0.8152  0.7884  1 In 2.92
I  0.7884  0.4732  0.3769  1 In 2.92
I  0.0268  0.6231  0.7116  1 In 2.92
I  0.4037  0.3769  0.5886  1 In 2.92
I  0.4037  0.0268  0.3152  1 In 2.92
I  0.4732  0.7884  0.8769  1 In 2.92
I  0.0963  0.1848  0.4732  1 In 2.92
I  0.3769  0.4037  0.0886  1 In 2.92
I  0.0268  0.4037  0.8152  1 In 2.92
I  0.0886  0.1848  0.2116  1 In 2.92
I  0.5268  0.3152  0.9037  1 In 2.92
I  0.1231  0.7116  0.5268  1 In 2.92
I  0.8152  0.9037  0.0268  1 In 2.92
I  0.6231  0.0268  0.2116  1 In 2.92
I  0.4114  0.1231  0.5963  1 In 2.92
I  0.6848  0.4732  0.5963  1 In 2.92
I  0.2116  0.5268  0.6231  1 In 2.92
I  0.9732  0.3769  0.2884  1 In 2.92
I  0.8152  0.9114  0.2884  1 In 2.92
I  0.6848  0.2116  0.5886  1 In 2.92
I  0.3152  0.7884  0.4114  1 In 2.92
I  0.8769  0.5886  0.9037  1 In 2.92
I  0.0886  0.9037  0.3769  1 In 2.92
I  0.5886  0.8769  0.4037  1 In 2.92
I  0.5886  0.7116  0.6848  1 In 2.92
K  0.6250  0.2500  0.3750  8 I 3.84-3.93
K  0.2500  0.1250  0.3750  8 I 3.84-3.93
K  0.2500  0.6250  0.8750  8 I 3.84-3.93
K  0.7500  0.3750  0.1250  8 I 3.84-3.93
K  0.6250  0.3750  0.7500  8 I 3.84-3.93
K  0.8750  0.1250  0.2500  8 I 3.84-3.93
K  0.1250  0.8750  0.7500  8 I 3.84-3.93
K  0.3750  0.6250  0.2500  8 I 3.84-3.93
K  0.1250  0.2500  0.8750  8 I 3.84-3.93
K  0.3750  0.7500  0.6250  8 I 3.84-3.93
K  0.7500  0.8750  0.6250  8 I 3.84-3.93
K  0.8750  0.7500  0.1250  8 I 3.84-3.93


Entry 4:
## NaHoPd6O8 (GGA-PBE)

Data for an optimized crystal structure of NaHoPd6O8.

Energy relative to the elements, uncorrected ... -1.090 eV/atom
SG ... No. 200
Fermi-level density of states ... 2.3 states/eV/f.u.

Cell: 5.8273 5.8273 5.8273 Å, 90.00 90.00 90.00°
Last column: nearest neighbours and their distance in Å.
Fractional positions:
Pd  0.0000  0.5000  0.2501  4 O 2.06
Pd  0.0000  0.5000  0.7499  4 O 2.06
Pd  0.7499  0.0000  0.5000  4 O 2.06
Pd  0.2501  0.0000  0.5000  4 O 2.06
Pd  0.5000  0.7499  0.0000  4 O 2.06
Pd  0.5000  0.2501  0.0000  4 O 2.06
O  0.7606  0.7606  0.2394  3 Pd 2.06
O  0.7606  0.2394  0.2394  3 Pd 2.06
O  0.2394  0.7606  0.7606  3 Pd 2.06
O  0.7606  0.2394  0.7606  3 Pd 2.06
O  0.2394  0.2394  0.7606  3 Pd 2.06
O  0.2394  0.2394  0.2394  3 Pd 2.06
O  0.7606  0.7606  0.7606  3 Pd 2.06
O  0.2394  0.7606  0.2394  3 Pd 2.06
Na  0.5000  0.5000  0.5000  8 O 2.63
Ho  0.0000  0.0000  0.0000  8 O 2.42


Entry 5:
## AcHoCoAu (GGA-PBE)

Data for an optimized crystal structure of AcHoCoAu.

Energy of formation ... -267 meV/atom
SG ... No. 216
Fermi-level density of states ... 4.1 states/eV/f.u.

Cell: 5.1653 5.1653 5.1653 Å, 60.00 60.00 60.00°
Last column: nearest neighbours and their distance in Å.
Fractional positions:
Au  0.0000  0.0000  0.0000  4 Ac 3.16, 4 Ho 3.16
Ho  0.2500  0.2500  0.2500  4 Co 3.16, 4 Au 3.16
Ac  0.7500  0.7500  0.7500  4 Co 3.16, 4 Au 3.16
Co  0.5000  0.5000  0.5000  4 Ho 3.16, 4 Ac 3.16


Entry 6:
## Sm2ZrF (GGA-PBE)

Data for an optimized crystal structure of Sm2ZrF.

Energy relative to the elements, uncorrected ... -0.801 eV/atom
SG ... No. 166
Fermi-level density of states ... 4.7 states/eV/f.u.

Cell: 3.2434 3.2434 10.4762 Å, 81.10 81.10 60.00°
Last column: nearest neighbours and their distance in Å.
Fractional positions:
Sm  0.1042  0.1042  0.6875  3 F 2.69
Sm  0.8958  0.8958  0.3125  3 F 2.69
Zr  0.0000  0.0000  0.0000  2 Sm 3.22, 6 Zr 3.24
F  0.5000  0.5000  0.5000  6 Sm 2.69


Entry 7:
## DyThPt2 (GGA-PBE)

Data for an optimized crystal structure of DyThPt2.

Energy of formation ... -1285 meV/atom
SG ... No. 11
E above lowest polymorph ... 0 meV/atom
Fermi-level density of states ... 2.6 states/eV/f.u.

Cell: 4.4391 5.8345 7.6502 Å, 108.79 90.00 90.00°
Last column: nearest neighbours and their distance in Å.
Fractional positions:
Pt  0.7500  0.3156  0.4575  4 Dy 2.93-3.22, 3 Th 2.97-3.12, 2 Pt 3.01
Pt  0.7500  0.3067  0.9472  3 Dy 2.96-3.30, 4 Th 2.99-3.16, 2 Pt 3.08
Pt  0.2500  0.6844  0.5425  4 Dy 2.93-3.22, 3 Th 2.97-3.12, 2 Pt 3.01
Pt  0.2500  0.6933  0.0528  3 Dy 2.96-3.30, 4 Th 2.99-3.16, 2 Pt 3.08
Dy  0.2500  0.2151  0.6767  6 Pt 2.93-3.22
Dy  0.7500  0.7849  0.3233  6 Pt 2.93-3.22
Th  0.2500  0.2341  0.1859  7 Pt 2.97-3.16
Th  0.7500  0.7659  0.8141  7 Pt 2.97-3.16


Entry 8:
## HfGaP2 (GGA-PBE)

Data for an optimized crystal structure of HfGaP2.

Energy of formation ... -355 meV/atom
SG ... No. 122
Fermi-level density of states ... 4.4 states/eV/f.u.

Cell: 5.8104 5.8104 6.8805 Å, 65.02 65.02 90.00°
Last column: nearest neighbours and their distance in Å.
Fractional positions:
Ga  0.5000  0.5000  0.0000  4 P 2.43
Ga  0.2500  0.7500  0.5000  4 P 2.43
P  0.8750  0.8608  0.7500  2 Ga 2.43, 2 Hf 2.52
P  0.3750  0.3892  0.7500  2 Ga 2.43, 2 Hf 2.52
P  0.6108  0.1250  0.2500  2 Ga 2.43, 2 Hf 2.52
P  0.1392  0.6250  0.2500  2 Ga 2.43, 2 Hf 2.52
Hf  0.7500  0.2500  0.5000  4 P 2.52
Hf  0.0000  0.0000  0.0000  4 P 2.52


Entry 9:
## TaGeSb2 (GGA-PBE)

Data for an optimized crystal structure of TaGeSb2.

Energy relative to the elements, uncorrected ... 0.606 eV/atom
SG ... No. 122
Fermi-level density of states ... 3.4 states/eV/f.u.

Cell: 6.3727 6.3727 7.8013 Å, 65.89 65.89 90.00°
Last column: nearest neighbours and their distance in Å.
Fractional positions:
Sb  0.1145  0.6250  0.2500  2 Ta 2.72, 2 Ge 2.80
Sb  0.8750  0.8855  0.7500  2 Ta 2.72, 2 Ge 2.80
Sb  0.3750  0.3645  0.7500  2 Ta 2.72, 2 Ge 2.80
Sb  0.6355  0.1250  0.2500  2 Ta 2.72, 2 Ge 2.80
Ge  0.2500  0.7500  0.5000  4 Sb 2.80
Ge  0.5000  0.5000  0.0000  4 Sb 2.80
Ta  0.7500  0.2500  0.5000  4 Sb 2.72
Ta  0.0000  0.0000  0.0000  4 Sb 2.72


Entry 10:
## SrVBi2Mo (GGA-PBE)

Data for an optimized crystal structure of SrVBi2Mo.

Energy of formation ... 2382 meV/atom
SG ... No. 123
Fermi-level density of states ... 9.2 states/eV/f.u.

Cell: 5.7958 4.7290 5.7958 Å, 90.00 90.00 90.00°
Last column: nearest neighbours and their distance in Å.
Fractional positions:
Bi  0.0000  0.0000  0.5000  2 Sr 2.90
Bi  0.5000  0.0000  0.0000  2 Sr 2.90
Mo  0.5000  0.5000  0.5000  8 Bi 3.74, 4 V 4.10
Sr  0.0000  0.0000  0.0000  2 V 2.36
V  0.0000  0.5000  0.0000  2 Sr 2.36


Entry 11:
## Li2SbO (GGA-PBE)

Data for an optimized crystal structure of Li2SbO.

Energy relative to the elements, uncorrected ... -0.971 eV/atom
SG ... No. 122
E above lowest polymorph ... 0 meV/atom
Fermi-level density of states ... 0.7 states/eV/f.u.

Cell: 5.7379 5.7379 5.7287 Å, 59.95 59.95 90.00°
Last column: nearest neighbours and their distance in Å.
Fractional positions:
Li  0.3750  0.6005  0.7500  2 O 1.76
Li  0.3995  0.1250  0.2500  2 O 1.76
Li  0.8750  0.6495  0.7500  2 O 1.76
Li  0.3505  0.6250  0.2500  2 O 1.76
Sb  0.0000  0.0000  0.0000  12 Li 3.24-3.48, 4 O 3.51, 4 Sb 3.51
Sb  0.7500  0.2500  0.5000  12 Li 3.24-3.48, 4 O 3.51, 4 Sb 3.51
O  0.5000  0.5000  0.0000  4 Li 1.76
O  0.2500  0.7500  0.5000  4 Li 1.76


Entry 12:
## Na2LiCuHg (GGA-PBE)

Data for an optimized crystal structure of Na2LiCuHg.

Energy of formation ... 301 meV/atom
SG ... No. 123
Fermi-level density of states ... 2.0 states/eV/f.u.

Cell: 5.4426 4.5129 5.4426 Å, 90.00 90.00 90.00°
Last column: nearest neighbours and their distance in Å.
Fractional positions:
Na  0.5000  0.0000  0.0000  2 Li 2.72
Na  0.0000  0.0000  0.5000  2 Li 2.72
Hg  0.5000  0.5000  0.5000  8 Na 3.54, 4 Cu 3.85
Li  0.0000  0.0000  0.0000  2 Cu 2.26
Cu  0.0000  0.5000  0.0000  2 Li 2.26